ZrZn11Si after structural relaxation. Source: Alexandria via LeMat-Bulk, functional GGA-PBE.

abc: 5.3009 6.6765 6.7258
angles: 80.67 66.79 65.70
With the nearest neighbours (Å) after each atom.
Element x y z (fractional)
1 Zr 0.0000 0.0000 0.0000  18 Zn 3.05-3.36, 2 Si 3.30
2 Zn 0.2849 0.2117 0.2125  7 Zn 2.54-2.83, 1 Si 2.58
3 Zn 0.7151 0.7883 0.7875  7 Zn 2.54-2.83, 1 Si 2.58
4 Zn 0.5026 0.7883 0.2125  7 Zn 2.54-2.83, 1 Si 2.58
5 Zn 0.4974 0.2117 0.7875  7 Zn 2.54-2.83, 1 Si 2.58
6 Zn 0.3537 0.6479 0.6483  6 Zn 2.57-2.83, 1 Si 2.69
7 Zn 0.6463 0.3521 0.3517  6 Zn 2.57-2.83, 1 Si 2.69
8 Zn 0.9980 0.3521 0.6483  6 Zn 2.57-2.83, 1 Si 2.69
9 Zn 0.0020 0.6479 0.3517  6 Zn 2.57-2.83, 1 Si 2.69
10 Zn 0.0000 0.5000 0.0000  8 Zn 2.54-2.71, 2 Si 2.65
11 Zn 0.5000 0.0000 0.5000  10 Zn 2.56-2.69
12 Zn 0.0000 0.0000 0.5000  10 Zn 2.56-2.69
13 Si 0.5000 0.5000 0.0000  10 Zn 2.58-2.69

Values from the calculation:
Formation energy without anion corrections: -0.0284 eV per atom